A relaxed structure of SrNi2Te3, computed with PBE.

abc: 7.0676 7.0676 10.5903
angles: 90.00 90.00 33.27
Sites, in units of the cell vectors:
Ni1 0.0000 0.0000 0.0000
Ni2 0.4476 0.4476 0.2500
Ni3 0.0000 0.0000 0.5000
Ni4 0.5524 0.5524 0.7500
Sr1 0.7611 0.7611 0.2500
Sr2 0.2389 0.2389 0.7500
Te1 0.3720 0.3720 0.0322
Te2 0.0559 0.0559 0.2500
Te3 0.3720 0.3720 0.4678
Te4 0.6280 0.6280 0.5322
Te5 0.9441 0.9441 0.7500
Te6 0.6280 0.6280 0.9678

Computed properties:
**Space group**: Cmcm
**DFT total energy**: -0.1549 Ha/atom
**V**: 24.186 A^3/atom
**Size of the total moment**: 0.01 μB/f.u.

A relaxed structure of SrZnNiTe3, computed with PBE.

abc: 6.8854 6.8854 11.4766
angles: 90.00 90.00 35.81
Sites, in units of the cell vectors:
Ni1 0.4474 0.4474 0.2500
Ni2 0.5526 0.5526 0.7500
Sr1 0.7526 0.7526 0.2500
Sr2 0.2474 0.2474 0.7500
Te1 0.3587 0.3587 0.0519
Te2 0.0487 0.0487 0.2500
Te3 0.3587 0.3587 0.4481
Te4 0.6413 0.6413 0.5519
Te5 0.9513 0.9513 0.7500
Te6 0.6413 0.6413 0.9481
Zn1 0.0000 0.0000 0.0000
Zn2 0.0000 0.0000 0.5000

Computed properties:
**Space group**: Cmcm
**DFT total energy**: -0.1302 Ha/atom
**V**: 26.527 A^3/atom
**Size of the total moment**: 0.01 μB/f.u.

A relaxed structure of SrZnNiTe3, computed with PBE.

abc: 10.5196 7.4629 7.4629
angles: 147.21 90.00 90.00
Site moments in Bohr magnetons follow the coordinates.
Sites, in units of the cell vectors:
Ni1 0.0000 0.0000 0.0000  0.73
Ni2 0.5000 0.0000 0.0000  0.73
Sr1 0.7500 0.7632 0.2368  0.02
Sr2 0.2500 0.2368 0.7632  0.02
Te1 0.2500 0.9271 0.0729  0.04
Te2 0.0355 0.6293 0.3707  0.09
Te3 0.4645 0.6293 0.3707  0.09
Te4 0.5355 0.3707 0.6293  0.09
Te5 0.9645 0.3707 0.6293  0.09
Te6 0.7500 0.0729 0.9271  0.04
Zn1 0.2500 0.5362 0.4638  0.02
Zn2 0.7500 0.4638 0.5362  0.02

Computed properties:
**Space group**: Cmcm
**DFT total energy**: -0.1292 Ha/atom
**V**: 26.439 A^3/atom
**Size of the total moment**: 1.23 μB/f.u.

Q: What is the size of the total moment in the third record?
A: 1.23 μB/f.u.